The following is a DFT calculation (PBE with a Hubbard U) of crystalline Li5VO4 at its relaxed geometry.

## Properties
Fermi-level density of states, states/eV/cell: 0.00
Calculated total energy, eV/atom: -5.586

Lattice parameters (Å, degrees): 3.051 5.528 6.332 115.85 103.94 90.00
Element x y z (fractional)
Li  0.825  0.601  0.651
Li  0.825  0.047  0.649
Li  0.175  0.953  0.351
Li  0.500  0.500  0.000
Li  0.175  0.399  0.349
V  0.500  0.000  0.000
O  0.302  0.802  0.605
O  0.000  0.750  0.001
O  0.698  0.198  0.395
O  0.000  0.250  0.999